No. 1
! LaBePt3 meta-GGA SCAN single point on PBEsol structure; values from VASP
! DFT formation energy: -909 meV/atom
! space group: Pm-3m (221)
! calculated density: 14.26 g cm⁻³
! magnetic moment: 0.0 Bohr magnetons per cell
&SYSTEM
  ibrav = 0, nat = 5, ntyp = 3
/
ATOMIC_SPECIES
Pt 195.08 Pt.upf
Be 9.01 Be.upf
La 138.91 La.upf
CELL_PARAMETERS angstrom
4.403 0.000 0.000
0.000 4.403 0.000
0.000 0.000 4.403
ATOMIC_POSITIONS crystal
Pt 0.500 0.000 0.000
Pt 0.000 0.000 0.500
Pt 0.000 0.500 0.000
Be 0.000 0.000 0.000
La 0.500 0.500 0.500



No. 2
! La2BePt meta-GGA SCAN single point on PBEsol structure; values from VASP
! DFT formation energy: -712 meV/atom
! space group: Amm2 (38)
! calculated density: 8.56 g cm⁻³
! magnetic moment: 0.0 Bohr magnetons per cell
&SYSTEM
  ibrav = 0, nat = 4, ntyp = 3
/
ATOMIC_SPECIES
La 138.91 La.upf
Pt 195.08 Pt.upf
Be 9.01 Be.upf
CELL_PARAMETERS angstrom
-2.217 -0.054 -3.428
2.580 -3.263 -1.617
-4.414 -1.868 2.885
ATOMIC_POSITIONS crystal
La 0.500 0.398 0.795
La 0.000 0.098 0.196
Pt 0.000 0.802 0.604
Be 0.500 0.700 0.399



No. 3
! LaBe2Pt2 meta-GGA SCAN single point on PBEsol structure; values from VASP
! DFT formation energy: -1024 meV/atom
! space group: I4/mmm (139)
! calculated density: 11.13 g cm⁻³
! magnetic moment: 0.0 Bohr magnetons per cell
&SYSTEM
  ibrav = 0, nat = 5, ntyp = 3
/
ATOMIC_SPECIES
Pt 195.08 Pt.upf
La 138.91 La.upf
Be 9.01 Be.upf
CELL_PARAMETERS angstrom
-3.527 1.836 0.419
-0.391 -1.585 3.650
4.311 3.932 -0.020
ATOMIC_POSITIONS crystal
Pt 0.363 0.363 0.726
Pt 0.637 0.637 0.274
La 0.000 0.000 0.000
Be 0.250 0.750 0.500
Be 0.750 0.250 0.500



No. 4
! La2BePt meta-GGA SCAN single point on PBEsol structure; values from VASP
! DFT formation energy: -406 meV/atom
! space group: P4mm (99)
! calculated density: 8.97 g cm⁻³
! magnetic moment: 0.0 Bohr magnetons per cell
&SYSTEM
  ibrav = 0, nat = 4, ntyp = 3
/
ATOMIC_SPECIES
La 138.91 La.upf
Pt 195.08 Pt.upf
Be 9.01 Be.upf
CELL_PARAMETERS angstrom
-0.700 3.104 -0.516
-1.719 0.066 2.726
7.024 2.310 4.372
ATOMIC_POSITIONS crystal
La 0.500 0.500 0.326
La 0.000 0.000 0.926
Pt 0.000 0.000 0.574
Be 0.500 0.500 0.674



No. 5
! LaBePt2 meta-GGA SCAN single point on PBEsol structure; values from VASP
! DFT formation energy: -754 meV/atom
! space group: P2/m (10)
! calculated density: 13.31 g cm⁻³
! magnetic moment: 0.0 Bohr magnetons per cell
&SYSTEM
  ibrav = 0, nat = 4, ntyp = 3
/
ATOMIC_SPECIES
La 138.91 La.upf
Pt 195.08 Pt.upf
Be 9.01 Be.upf
CELL_PARAMETERS angstrom
-2.658 1.942 0.339
-1.042 -0.978 -2.569
-2.994 -4.804 4.042
ATOMIC_POSITIONS crystal
La 0.500 0.500 0.000
Pt 0.000 0.073 0.315
Pt 0.000 0.927 0.685
Be 0.500 0.500 0.500



No. 6
! La2BePt meta-GGA SCAN single point on PBEsol structure; values from VASP
! DFT formation energy: -631 meV/atom
! space group: Imm2 (44)
! calculated density: 9.11 g cm⁻³
! magnetic moment: 0.0 Bohr magnetons per cell
&SYSTEM
  ibrav = 0, nat = 4, ntyp = 3
/
ATOMIC_SPECIES
Be 9.01 Be.upf
La 138.91 La.upf
Pt 195.08 Pt.upf
CELL_PARAMETERS angstrom
-1.410 0.483 -3.285
-3.275 -3.125 0.946
-0.754 5.138 3.060
ATOMIC_POSITIONS crystal
Be 0.189 0.689 0.377
La 0.973 0.973 0.946
La 0.778 0.278 0.556
Pt 0.560 0.560 0.121



No. 7
! LaBePt meta-GGA SCAN single point on PBEsol structure; values from VASP
! DFT formation energy: -944 meV/atom
! space group: P-6m2 (187)
! calculated density: 9.63 g cm⁻³
! magnetic moment: 0.0 Bohr magnetons per cell
&SYSTEM
  ibrav = 0, nat = 3, ntyp = 3
/
ATOMIC_SPECIES
Be 9.01 Be.upf
La 138.91 La.upf
Pt 195.08 Pt.upf
CELL_PARAMETERS angstrom
4.064 0.000 0.000
-2.032 3.519 0.000
0.000 0.000 4.138
ATOMIC_POSITIONS crystal
Be 0.000 0.000 0.500
La 0.333 0.667 0.000
Pt 0.667 0.333 0.500



No. 8
! RbLaBeTl2 meta-GGA SCAN single point on PBEsol structure; values from VASP
! DFT formation energy: 977 meV/atom
! space group: P4/mmm (123)
! calculated density: 6.38 g cm⁻³
! magnetic moment: 0.0 Bohr magnetons per cell
&SYSTEM
  ibrav = 0, nat = 5, ntyp = 4
/
ATOMIC_SPECIES
La 138.91 La.upf
Tl 204.38 Tl.upf
Rb 85.47 Rb.upf
Be 9.01 Be.upf
CELL_PARAMETERS angstrom
5.003 0.000 0.000
0.000 5.780 0.000
0.000 0.000 5.780
ATOMIC_POSITIONS crystal
La 0.500 0.500 0.500
Tl 0.000 0.000 0.500
Tl 0.000 0.500 0.000
Rb 0.000 0.000 0.000
Be 0.500 0.000 0.000



No. 9
! RbLa2BeW meta-GGA SCAN single point on PBEsol structure; values from VASP
! DFT formation energy: 1277 meV/atom
! space group: P4/mmm (123)
! calculated density: 5.24 g cm⁻³
! magnetic moment: 0.0 Bohr magnetons per cell
&SYSTEM
  ibrav = 0, nat = 5, ntyp = 4
/
ATOMIC_SPECIES
La 138.91 La.upf
W 183.84 W.upf
Rb 85.47 Rb.upf
Be 9.01 Be.upf
CELL_PARAMETERS angstrom
-5.287 -1.057 0.473
0.437 -3.868 -3.760
1.192 -4.042 4.297
ATOMIC_POSITIONS crystal
La 0.500 0.000 0.000
La 0.000 0.500 0.000
W 0.000 0.000 0.000
Rb 0.000 0.000 0.500
Be 0.500 0.500 0.500



No. 10
! La2BeRe meta-GGA SCAN single point on PBEsol structure; values from VASP
! DFT formation energy: 145 meV/atom
! space group: Amm2 (38)
! calculated density: 8.45 g cm⁻³
! magnetic moment: 0.0 Bohr magnetons per cell
&SYSTEM
  ibrav = 0, nat = 4, ntyp = 3
/
ATOMIC_SPECIES
Re 186.21 Re.upf
Be 9.01 Be.upf
La 138.91 La.upf
CELL_PARAMETERS angstrom
4.023 0.000 0.000
0.000 4.225 0.000
0.000 -2.112 5.468
ATOMIC_POSITIONS crystal
Re 0.000 0.802 0.605
Be 0.500 0.697 0.395
La 0.000 0.108 0.216
La 0.500 0.386 0.773



No. 11
! LaBe2Re meta-GGA SCAN single point on PBEsol structure; values from VASP
! DFT formation energy: 177 meV/atom
! space group: Amm2 (38)
! energy above the lowest structure with this stoichiometry: 0.00 eV per formula unit
! calculated density: 8.98 g cm⁻³
! magnetic moment: 0.0 Bohr magnetons per cell
&SYSTEM
  ibrav = 0, nat = 4, ntyp = 3
/
ATOMIC_SPECIES
Re 186.21 Re.upf
La 138.91 La.upf
Be 9.01 Be.upf
CELL_PARAMETERS angstrom
3.261 0.000 -0.024
0.000 3.394 0.000
-1.588 0.000 5.744
ATOMIC_POSITIONS crystal
Re 0.259 0.500 0.892
La 0.550 0.000 0.476
Be 0.896 0.500 0.166
Be 0.795 0.000 0.965



No. 12
! La2BeRe meta-GGA SCAN single point on PBEsol structure; values from VASP
! DFT formation energy: 414 meV/atom
! space group: P2/m (10)
! calculated density: 8.78 g cm⁻³
! magnetic moment: 0.0 Bohr magnetons per cell
&SYSTEM
  ibrav = 0, nat = 4, ntyp = 3
/
ATOMIC_SPECIES
La 138.91 La.upf
Be 9.01 Be.upf
Re 186.21 Re.upf
CELL_PARAMETERS angstrom
3.533 0.000 0.000
0.000 3.533 0.035
0.000 -0.085 7.168
ATOMIC_POSITIONS crystal
La 0.000 0.999 0.741
La 0.000 0.001 0.259
Be 0.500 0.500 0.000
Re 0.500 0.500 0.500



No. 13
! LaBeRe meta-GGA SCAN single point on PBEsol structure; values from VASP
! DFT formation energy: 750 meV/atom
! space group: F-43m (216)
! calculated density: 9.56 g cm⁻³
! magnetic moment: 0.0 Bohr magnetons per cell
&SYSTEM
  ibrav = 0, nat = 3, ntyp = 3
/
ATOMIC_SPECIES
Be 9.01 Be.upf
Re 186.21 Re.upf
La 138.91 La.upf
CELL_PARAMETERS angstrom
-3.466 -1.944 -1.759
-1.290 -3.883 1.465
-3.685 -0.349 2.277
ATOMIC_POSITIONS crystal
Be 0.000 0.000 0.000
Re 0.250 0.250 0.250
La 0.500 0.500 0.500



No. 14
! LaBe2Re meta-GGA SCAN single point on PBEsol structure; values from VASP
! DFT formation energy: 644 meV/atom
! space group: C2/m (12)
! energy above the lowest structure with this stoichiometry: 1.87 eV per formula unit
! calculated density: 9.57 g cm⁻³
! magnetic moment: 0.0 Bohr magnetons per cell
&SYSTEM
  ibrav = 0, nat = 4, ntyp = 3
/
ATOMIC_SPECIES
Re 186.21 Re.upf
La 138.91 La.upf
Be 9.01 Be.upf
CELL_PARAMETERS angstrom
0.030 -1.399 2.737
4.413 -0.758 -0.641
-0.483 4.083 1.887
ATOMIC_POSITIONS crystal
Re 0.500 0.000 0.000
La 0.500 0.500 0.500
Be 0.000 0.500 0.000
Be 0.000 0.000 0.500